*i*
HoTm4Pt2 | PBE | optimized geometry

```
14
Lattice="-2.0308 -3.9743 4.4066 4.6089 -5.4964 -2.8331 3.5817 4.3883 5.6084" Properties=species:S:1:pos:R:3 pbc="T T T"
Pt 1.9784 -7.0701 1.2304
Tm 3.6186 -0.8857 5.3674
Tm 2.5412 -4.1966 1.8145
Ho 6.8868 -1.3715 4.1686
Tm 2.6192 -2.8415 7.5360
Tm 3.5406 -2.2408 -0.3540
Tm 4.2832 -4.2342 4.8503
Tm -0.0548 -1.3713 5.4331
Tm 6.2145 -3.7110 1.7488
Pt 4.4541 -1.8432 2.6221
Tm 1.8765 -0.8481 2.3316
Ho -0.7270 -3.7108 3.0133
Pt 4.1814 1.9878 5.9515
Pt 1.7057 -3.2392 4.5599
```

---

*ii*
HoTm4Pt2 | PBE | optimized geometry

```
7
Lattice="4.6973 0.0000 0.0000 2.3487 4.0680 0.0000 2.3487 1.3560 10.1785" Properties=species:S:1:pos:R:3 pbc="T T T"
Tm 2.3487 1.3560 7.1807
Tm 7.0460 4.0680 9.1689
Tm 2.3487 1.3560 1.0096
Tm 7.0460 4.0680 2.9978
Ho 4.6973 2.7120 5.0893
Pt 4.6973 2.7120 2.0050
Pt 4.6973 2.7120 8.1735
```

---

Which is more stable than every other structure shown? *i* is more stable than every other one.